NiC4NCl3 (PBE, optimized geometry); uncorrected formation energy = 1.23 eV per atom; total DFT energy (no corrections) = -90.87 eV/cell; total magnetic moment = 2.00 μB/f.u.; DOS(E_F) = 8.3 states/eV/cell
1.0
4.2370 -7.3387 0.0000
4.2370 7.3387 0.0000
0.0000 0.0000 5.7412
Ni C N Cl
2 8 2 6
Cartesian
0.0000 0.0000 2.9673
0.0000 0.0000 0.0967
4.2370 -2.4462 3.2103
4.2370 2.4462 0.3397
3.3864 -3.0871 4.2586
4.1073 -1.3891 4.2586
5.2173 -2.8624 4.2586
5.0876 3.0871 1.3880
4.3667 1.3891 1.3880
3.2567 2.8624 1.3880
4.2370 -2.4462 5.2930
4.2370 2.4462 2.4224
3.4027 -5.7467 1.5334
1.7958 -0.0735 1.5334
7.5124 -1.5185 1.5334
5.0713 5.7467 4.4040
6.6781 0.0735 4.4040
0.9616 1.5185 4.4040

SbCNCl4O (PBE, optimized geometry); uncorrected formation energy = -0.62 eV per atom; total DFT energy (no corrections) = -233.91 eV/cell; total magnetic moment = 0.00 μB/f.u.; DOS(E_F) = 0.0 states/eV/cell
1.0
-2.1731 8.0532 7.0172
-6.7486 -7.6321 6.6690
11.8963 1.2050 2.3011
C Cl N O Sb
6 24 6 6 6
Cartesian
4.2651 3.4547 10.0553
2.8114 4.4236 8.4932
5.0779 5.0193 8.5114
-1.2906 -1.8286 5.9320
0.1632 -2.7975 7.4941
-2.1034 -3.3932 7.4759
2.3093 0.5366 12.7986
-6.3414 -1.1326 12.0353
-2.4583 4.6566 6.5938
0.6653 1.0896 3.1887
9.3160 2.7588 3.9520
5.4328 -3.0305 9.3934
-0.0265 2.0420 10.3476
-2.7661 -0.1599 12.0262
-3.6979 2.1785 9.0539
3.0011 -0.4158 5.6397
5.7406 1.7861 3.9611
6.6724 -0.5524 6.9334
1.9184 3.9033 12.4609
1.9936 7.6942 8.1335
6.8382 6.5040 10.9998
0.1200 1.1921 6.5493
0.0448 -2.5989 10.8767
-4.7998 -1.4086 8.0103
1.0562 -2.2772 3.5264
0.9809 -6.0681 7.8538
-3.8637 -4.8778 4.9874
2.8545 0.4341 9.4380
2.9297 4.2250 5.1106
7.7744 3.0347 7.9769
3.0084 3.5810 9.5213
3.8518 5.1533 7.9779
5.2942 4.1634 9.5607
-0.0339 -1.9548 6.4660
-0.8773 -3.5272 8.0094
-2.3197 -2.5373 6.4266
4.3464 2.6283 11.0289
1.6871 4.6234 7.9157
6.1210 5.6460 8.1153
-1.3719 -1.0021 4.9584
1.2875 -2.9973 8.0716
-3.1464 -4.0198 7.8720
2.2107 2.0529 11.0279
2.4347 6.1020 6.4504
7.5090 4.7429 9.5816
0.7638 -0.4267 4.9594
0.5398 -4.4758 9.5369
-4.5344 -3.1167 6.4057

SbP3CN3Cl15 (PBE, optimized geometry); uncorrected formation energy = -0.56 eV per atom; total DFT energy (no corrections) = -190.09 eV/cell; total magnetic moment = 0.00 μB/f.u.; DOS(E_F) = 0.0 states/eV/cell
1.0
-7.8483 -5.0613 2.3924
3.6132 -10.5900 -1.3794
4.6042 -0.9928 12.6437
Sb P C N Cl
2 6 2 6 30
Cartesian
-0.1941 -4.5711 4.2238
0.5632 -12.0732 9.4329
-2.9485 -7.3456 9.9808
-0.9308 -10.6994 3.1971
1.2610 -9.3834 -0.4704
1.2999 -5.9448 10.4597
3.3175 -9.2986 3.6760
-0.8920 -7.2609 14.1272
1.2540 -9.7810 2.0936
-0.8849 -6.8632 11.5631
1.9010 -9.3696 0.9765
-1.4928 -6.8867 10.3645
-0.0196 -10.2258 1.9964
1.8619 -9.7575 3.2922
-1.5319 -7.2746 12.6802
0.3886 -6.4184 11.6604
-1.6350 -12.8225 10.1021
-6.8513 -6.9830 2.7403
-0.2060 -2.9648 6.0170
0.7731 -6.2235 5.6768
-0.1951 -6.1429 2.3878
-3.3106 -9.2951 10.1953
4.2436 -9.2428 11.9046
2.9981 -5.3249 11.2901
-1.4522 -9.2684 4.4832
5.3643 -12.1743 11.4567
-3.1773 -6.9507 8.0597
4.8172 -10.2349 2.7382
-1.2112 -2.9188 2.7564
3.6797 -7.3491 3.4615
-4.9952 -4.4700 2.2001
2.7783 -11.3297 8.7880
2.0041 -3.8217 3.5546
3.5464 -9.6935 5.5971
-0.2653 -12.2139 4.2979
0.6343 -4.4303 9.3589
-3.8745 -7.4015 1.7522
0.5642 -10.5013 11.2689
7.2203 -9.6612 10.9164
-0.4041 -10.4208 7.9800
-4.4482 -6.4093 10.9186
-2.4092 -5.3145 4.8688
1.5803 -13.7254 10.9003
-2.6290 -11.3193 2.3666
1.8213 -7.3759 9.1735
0.5751 -13.6794 7.6398

Pb2CN2Cl2 (PBE, optimized geometry); uncorrected formation energy = -0.48 eV per atom; total DFT energy (no corrections) = -40.33 eV/cell; total magnetic moment = 0.00 μB/f.u.; DOS(E_F) = 0.0 states/eV/cell
1.0
-2.7261 -2.5422 1.9534
-0.1349 -0.4409 -5.2952
5.5974 -5.0728 1.2095
Pb C N Cl
2 1 2 2
Cartesian
-0.3819 -3.3283 -0.3312
3.1182 -4.7276 -1.8010
2.7987 -2.5364 0.6048
0.5108 -5.3065 -1.6599
2.2255 -2.7495 -0.4724
2.9556 -5.9768 0.8796
-0.2193 -2.0792 -3.0118

PbCNCl2 (PBE, optimized geometry); uncorrected formation energy = 0.52 eV per atom; total DFT energy (no corrections) = -22.33 eV/cell; total magnetic moment = 0.00 μB/f.u.; DOS(E_F) = 1.8 states/eV/cell
1.0
-3.1305 -3.0658 -4.4763
-1.5014 -1.0895 1.7962
-4.0214 4.7803 -0.4617
Pb C N Cl
1 1 1 2
Cartesian
-4.3266 0.3125 -1.5709
0.0000 0.0000 0.0000
-0.7507 -0.5448 0.8981
-2.0107 2.3902 -0.2309
-1.5652 -1.5329 -2.2382

PbCSNCl (PBE, optimized geometry); uncorrected formation energy = -0.27 eV per atom; total DFT energy (no corrections) = -114.40 eV/cell; total magnetic moment = 0.00 μB/f.u.; DOS(E_F) = 0.0 states/eV/cell
1.0
-3.0769 2.6413 -1.2899
0.4321 -4.0292 -9.2809
-7.0297 -6.8883 2.6632
Pb C S N Cl
4 4 4 4 4
Cartesian
-6.0335 -8.6234 -6.7752
-7.0033 -4.5193 -3.0770
-2.6712 -3.7570 -4.8307
-3.6410 0.3472 -1.1325
-4.0876 -3.2287 -0.3705
-5.5869 -5.0475 -7.5372
-7.5101 -7.5338 -1.0222
-2.1644 -0.7424 -6.8855
-1.5766 -1.5075 -2.8355
-8.0979 -6.7688 -5.0722
-5.1426 -4.4747 -0.4054
-4.5319 -3.8015 -7.5023
-6.3511 -5.9566 -7.5757
-3.3234 -2.3197 -0.3320
-6.7148 -6.9148 -1.6515
-2.9597 -1.3615 -6.2562
-8.6074 -4.6258 0.5310
-4.9606 -2.4112 -3.6329
-1.0671 -3.6505 -8.4387
-4.7138 -5.8650 -4.2748

Pm6C2N3Cl (PBE, optimized geometry); uncorrected formation energy = -0.98 eV per atom; total DFT energy (no corrections) = -85.51 eV/cell; total magnetic moment = 0.00 μB/f.u.; DOS(E_F) = 2.2 states/eV/cell
1.0
3.6847 0.0000 0.0000
0.0000 7.5558 0.2942
-1.8423 -2.1540 7.8146
Pm C N Cl
6 2 3 1
Cartesian
0.0000 5.4799 5.3057
1.8423 3.7026 2.8045
1.8423 -0.0780 2.8031
0.0000 2.1389 0.0947
1.8423 3.2630 8.0141
0.0000 1.6992 5.3043
1.8423 3.6165 5.4721
0.0000 1.7854 2.6368
1.8423 3.7779 0.1471
1.8423 -0.1782 5.2584
0.0000 5.5801 2.8504
1.8423 0.0000 0.0000

Pm6C2NCl3 (PBE, optimized geometry); uncorrected formation energy = -1.23 eV per atom; total DFT energy (no corrections) = -75.63 eV/cell; total magnetic moment = 0.00 μB/f.u.; DOS(E_F) = 4.3 states/eV/cell
1.0
-4.0292 4.8711 -1.2230
-2.0162 -6.0823 -0.6310
-0.0480 0.3888 7.3579
Pm C N Cl
6 2 1 3
Cartesian
-5.0346 1.1935 4.4333
-4.4373 -0.8132 0.0412
-1.0587 -2.0159 1.0705
-4.3684 -2.4318 4.6293
-1.6561 -0.0092 5.4626
-1.7250 1.6094 0.8746
-2.6876 -2.4289 -0.8285
-3.3578 1.2177 -1.0255
0.0000 0.0000 0.0000
-2.3804 -4.0367 2.9478
-3.7130 3.2143 2.5560
-3.0467 -0.4112 2.7519

Pm8C3NCl4 (PBE, optimized geometry); uncorrected formation energy = -1.19 eV per atom; total DFT energy (no corrections) = -100.42 eV/cell; total magnetic moment = 0.00 μB/f.u.; DOS(E_F) = 3.4 states/eV/cell
1.0
7.4458 0.0000 0.0000
0.0000 8.2525 0.5779
-3.7229 -3.7309 5.2592
Pm C N Cl
8 3 1 4
Cartesian
-1.8720 2.1061 5.4517
0.0000 3.9822 2.8071
0.0000 0.5327 3.0101
1.8720 2.1061 5.4517
1.8508 2.4156 0.3854
3.7229 3.9889 2.8269
3.7229 0.5395 3.0300
5.5949 2.4156 0.3854
3.7229 4.1263 0.2889
1.8614 2.2608 2.9185
-1.8614 2.2608 2.9185
0.0000 4.1263 0.2889
3.7229 0.0000 0.0000
1.8614 -1.8655 2.6296
0.0000 0.0000 0.0000
-1.8614 -1.8655 2.6296

Pm6C2NCl2 (PBE, optimized geometry); uncorrected formation energy = -1.00 eV per atom; total DFT energy (no corrections) = -69.95 eV/cell; total magnetic moment = 0.00 μB/f.u.; DOS(E_F) = 6.0 states/eV/cell
1.0
6.4664 -0.0161 0.0513
-3.2100 5.6134 0.0513
-1.1697 -2.0106 6.7245
Pm C N Cl
6 2 1 2
Cartesian
1.5700 2.6986 4.7979
-1.6371 0.8239 4.7300
0.5167 0.8881 2.0293
1.5254 -1.0159 4.7300
3.7237 2.7627 2.0971
0.5612 4.6026 2.0971
-0.5848 2.7405 3.4136
2.6714 0.8461 3.4136
-0.5849 -1.0053 3.3623
4.8155 0.9443 0.0513
-1.5592 4.6530 0.0513

Pr4CNCl2 (PBE, optimized geometry); uncorrected formation energy = -1.28 eV per atom; total DFT energy (no corrections) = -50.58 eV/cell; total magnetic moment = 0.00 μB/f.u.; DOS(E_F) = 2.2 states/eV/cell
1.0
-1.7640 -2.6248 2.0427
3.0084 -4.6709 -3.4038
4.4151 1.6003 5.8691
Pr C N Cl
4 1 1 2
Cartesian
0.6341 -2.0710 1.3559
5.0254 -3.6243 3.1521
4.3750 0.0507 3.8433
3.0485 -3.1213 -1.3781
0.6222 -3.6478 -0.6806
0.0000 0.0000 0.0000
1.3255 -0.5122 3.9559
3.7118 -1.5353 1.2326

Pr8C3NCl4 (PBE, optimized geometry); uncorrected formation energy = -1.14 eV per atom; total DFT energy (no corrections) = -99.89 eV/cell; total magnetic moment = 0.00 μB/f.u.; DOS(E_F) = 3.1 states/eV/cell
1.0
-2.3755 -6.1365 3.7247
0.2498 -4.4548 -7.1801
6.4070 3.4384 2.0762
Pr C N Cl
8 3 1 4
Cartesian
5.7893 -1.1760 -2.1080
2.5648 -2.9066 -3.1529
2.8838 -1.1687 -0.0862
4.5937 -4.2645 -0.2334
-0.3124 -2.8884 -1.1458
1.3975 -5.9842 -1.2930
1.7165 -4.2463 1.7738
-1.5080 -5.9768 0.7288
-1.0628 -5.2957 -1.7277
2.1407 -3.5764 -0.6896
3.3284 -0.5082 -2.5519
0.1249 -2.2274 -3.5900
-1.1878 -3.0683 1.8623
2.0157 -1.3490 2.9005
0.0000 0.0000 0.0000
3.2035 1.7192 1.0381